Entry from the Alexandria database: a relaxed Pr8Cd3Ni2 crystal (GGA-PBE).

Values from the calculation:
- magnetic moment (μB/f.u.) = 0.0
- formation energy (meV/atom) = -110

a = 16.724 Å, b = 7.681 Å, c = 6.295 Å
α = 90.00°, β = 98.11°, γ = 90.00°
Space group C2/m (No. 12)
One atom of each set of equivalent atoms:
Pr 0.085 0.000 0.310 x4
Pr 0.150 0.247 0.858 x8
Pr 0.188 0.500 0.376 x4
Cd 0.000 0.324 0.500 x4
Cd 0.000 0.500 0.000 x2
Ni 0.232 0.000 0.162 x4

***

Entry from the Alexandria database: a relaxed PrCd3Ni8 crystal (GGA-PBE).

Values from the calculation:
- magnetic moment (μB/f.u.) = 1.0
- formation energy (meV/atom) = -97

a = 4.9736 Å, b = 4.9736 Å, c = 24.5591 Å
α = 90.00°, β = 90.00°, γ = 120.00°
Space group R3m (No. 160, hexagonal axes)
One atom of each set of equivalent atoms:
Pr 0.0000 0.0000 0.0000 x3
Cd 0.0000 0.0000 0.1281 x3
Cd 0.0000 0.0000 0.4966 x3
Cd 0.0000 0.0000 0.6155 x3
Ni 0.0000 0.0000 0.3111 x3
Ni 0.0000 0.0000 0.8116 x3
Ni 0.0011 0.5005 0.0637 x9
Ni 0.1683 0.3366 0.8931 x9

***

Entry from the Alexandria database: a relaxed PrCdNi4 crystal (GGA-PBE).

Values from the calculation:
- magnetic moment (μB/f.u.) = 0.0
- formation energy (meV/atom) = -265

a = 7.160 Å, b = 7.160 Å, c = 7.160 Å
α = 90.00°, β = 90.00°, γ = 90.00°
Space group F-43m (No. 216)
One atom of each set of equivalent atoms:
Pr 0.000 0.000 0.000 x4
Cd 0.250 0.250 0.750 x4
Ni 0.124 0.124 0.376 x16

***

Entry from the Alexandria database: a relaxed Pr3CdNi3 crystal (GGA-PBE).

Values from the calculation:
- magnetic moment (μB/f.u.) = 0.0
- formation energy (meV/atom) = -56

a = 8.6825 Å, b = 8.6825 Å, c = 5.5693 Å
α = 90.00°, β = 90.00°, γ = 120.00°
Space group P6_3/m (No. 176)
One atom of each set of equivalent atoms:
Pr 0.0515 0.3556 0.2500 x6
Cd 0.3333 0.6667 0.7500 x2
Ni 0.0400 0.3599 0.7500 x6

***

Entry from the Alexandria database: a relaxed PrCd2Ni9 crystal (GGA-PBE).

Values from the calculation:
- magnetic moment (μB/f.u.) = 2.1
- formation energy (meV/atom) = -130

a = 4.9483 Å, b = 4.9483 Å, c = 15.8288 Å
α = 90.00°, β = 90.00°, γ = 120.00°
Space group P6_3/mmc (No. 194)
One atom of each set of equivalent atoms:
Pr 0.3333 0.6667 0.2500 x2
Cd 0.3333 0.6667 0.0341 x4
Ni 0.0000 0.0000 0.0000 x2
Ni 0.0000 0.0000 0.2500 x2
Ni 0.1673 0.3346 0.6241 x12
Ni 0.3333 0.6667 0.7500 x2

***

Entry from the Alexandria database: a relaxed Pr3Cd2Ni crystal (GGA-PBE).

Values from the calculation:
- magnetic moment (μB/f.u.) = 0.0
- formation energy (meV/atom) = -215

a = 17.114 Å, b = 5.373 Å, c = 7.304 Å
α = 90.00°, β = 90.00°, γ = 90.00°
Space group Cmcm (No. 63)
One atom of each set of equivalent atoms:
Pr 0.000 0.008 0.250 x4
Pr 0.133 0.500 0.000 x8
Cd 0.198 0.001 0.250 x8
Ni 0.000 0.493 0.750 x4

***

Entry from the Alexandria database: a relaxed PrCd4Ni2 crystal (GGA-PBE).

Values from the calculation:
- magnetic moment (μB/f.u.) = 0.0
- formation energy (meV/atom) = -148

a = 4.251 Å, b = 16.065 Å, c = 4.248 Å
α = 90.00°, β = 90.00°, γ = 90.00°
Space group Cmmm (No. 65)
One atom of each set of equivalent atoms:
Pr 0.000 0.000 0.000 x2
Cd 0.000 0.175 0.500 x4
Cd 0.000 0.325 0.000 x4
Ni 0.000 0.429 0.500 x4

***

Entry from the Alexandria database: a relaxed Pr12CdNi6 crystal (GGA-PBE).

Values from the calculation:
- magnetic moment (μB/f.u.) = 0.0
- formation energy (meV/atom) = -232

a = 10.134 Å, b = 10.134 Å, c = 10.134 Å
α = 90.00°, β = 90.00°, γ = 90.00°
Space group Im-3 (No. 204)
One atom of each set of equivalent atoms:
Pr 0.000 0.307 0.186 x24
Cd 0.000 0.000 0.000 x2
Ni 0.000 0.121 0.500 x12

***

Entry from the Alexandria database: a relaxed Pr3CdNi crystal (GGA-PBE).

Values from the calculation:
- magnetic moment (μB/f.u.) = 0.0
- energy relative to the lowest polymorph listed for this composition (meV per atom) = 0
- formation energy (meV/atom) = -203

a = 7.630 Å, b = 4.786 Å, c = 8.421 Å
α = 90.00°, β = 111.37°, γ = 90.00°
Space group P2_1/m (No. 11)
One atom of each set of equivalent atoms:
Pr 0.059 0.250 0.246 x2
Pr 0.305 0.250 0.914 x2
Pr 0.342 0.750 0.589 x2
Cd 0.317 0.750 0.186 x2
Ni 0.057 0.250 0.575 x2

***

Entry from the Alexandria database: a relaxed Pr3CdNi crystal (GGA-PBE).

Values from the calculation:
- magnetic moment (μB/f.u.) = 0.0
- energy relative to the lowest polymorph listed for this composition (meV per atom) = 165
- formation energy (meV/atom) = -38

a = 5.426 Å, b = 5.426 Å, c = 5.426 Å
α = 90.00°, β = 90.00°, γ = 90.00°
Space group Pm-3m (No. 221)
One atom of each set of equivalent atoms:
Pr 0.000 0.000 0.500 x3
Cd 0.500 0.500 0.500 x1
Ni 0.000 0.000 0.000 x1

***

Copy entry 2 word for word.
Entry from the Alexandria database: a relaxed PrCd3Ni8 crystal (GGA-PBE).

Values from the calculation:
- magnetic moment (μB/f.u.) = 1.0
- formation energy (meV/atom) = -97

a = 4.9736 Å, b = 4.9736 Å, c = 24.5591 Å
α = 90.00°, β = 90.00°, γ = 120.00°
Space group R3m (No. 160, hexagonal axes)
One atom of each set of equivalent atoms:
Pr 0.0000 0.0000 0.0000 x3
Cd 0.0000 0.0000 0.1281 x3
Cd 0.0000 0.0000 0.4966 x3
Cd 0.0000 0.0000 0.6155 x3
Ni 0.0000 0.0000 0.3111 x3
Ni 0.0000 0.0000 0.8116 x3
Ni 0.0011 0.5005 0.0637 x9
Ni 0.1683 0.3366 0.8931 x9

***

Question: What is the formation energy in the first record?
Answer: -110 meV/atom

***

Question: Look up the formation energy of the second one.
Answer: -97 meV/atom